(1)
HfHgIr2I | PBE-GGA | relaxed

ΔE_f (raw) ... 8.89 eV per formula unit
VASP energy ... -0.3033 Ry per atom

Cell: 5.017 5.177 5.017 Å, 90.00 90.00 90.00°
Atoms (fractional coordinates):
Ir 0.000 0.000 0.500
Ir 0.500 0.000 0.000
Hg 0.000 0.000 0.000
Hf 0.000 0.500 0.000
I 0.500 0.500 0.500

***

(2)
K2HfHg2I6 | PBE-GGA | relaxed

ΔE_f (raw) ... -10.22 eV per formula unit
VASP energy ... -0.2156 Ry per atom

Cell: 8.555 8.555 9.702 Å, 99.90 99.90 120.74°
Atoms (fractional coordinates):
I 0.201 0.201 0.315
I 0.075 0.345 0.687
I 0.655 0.925 0.313
I 0.799 0.799 0.685
I 0.925 0.655 0.313
I 0.345 0.075 0.687
Hg 0.192 0.808 0.000
Hg 0.808 0.192 0.000
Hf 0.000 0.000 0.500
K 0.332 0.668 0.500
K 0.668 0.332 0.500

***

(3)
Hf2HgMoI | PBE-GGA | relaxed

ΔE_f (raw) ... 3.74 eV per formula unit
VASP energy ... -0.4240 Ry per atom

Cell: 5.039 5.437 5.039 Å, 90.00 90.00 90.00°
Atoms (fractional coordinates):
I 0.500 0.500 0.500
Hg 0.000 0.500 0.000
Hf 0.500 0.000 0.000
Hf 0.000 0.000 0.500
Mo 0.000 0.000 0.000

***

(4)
HfHgIN2 | PBE-GGA | relaxed

E above lowest polymorph ... 8.40 eV per formula unit
ΔE_f (raw) ... 10.10 eV per formula unit
VASP energy ... -0.2698 Ry per atom

Cell: 4.250 4.250 5.662 Å, 90.00 90.00 90.00°
Atoms (fractional coordinates):
Hf 0.500 0.500 0.500
I 0.000 0.000 0.500
Hg 0.000 0.000 0.000
N 0.500 0.000 0.000
N 0.000 0.500 0.000

***

(5)
HfHgIN2 | PBE-GGA | relaxed

E above lowest polymorph ... 0.00 eV per formula unit
ΔE_f (raw) ... 1.70 eV per formula unit
VASP energy ... -0.3933 Ry per atom

Cell: 4.209 4.209 6.197 Å, 90.00 90.00 90.00°
Atoms (fractional coordinates):
N 0.500 0.000 0.000
N 0.000 0.500 0.000
Hf 0.000 0.000 0.000
Hg 0.500 0.500 0.500
I 0.000 0.000 0.500

***

(6)
Hf2HgIN | PBE-GGA | relaxed

ΔE_f (raw) ... 6.92 eV per formula unit
VASP energy ... -0.3405 Ry per atom

Cell: 5.406 3.958 5.406 Å, 90.00 90.00 90.00°
Atoms (fractional coordinates):
Hf 0.500 0.000 0.000
Hf 0.000 0.000 0.500
N 0.000 0.500 0.000
I 0.000 0.000 0.000
Hg 0.500 0.500 0.500